1.
Computed, not measured: a relaxed structure of ZrO2 at the PBE level of DFT.

Lattice parameters (Å, degrees): 5.1328 5.1575 5.3487 90.00 90.00 90.00
Closest atoms and distances in Å follow each position.
Sites, in units of the cell vectors:
Zr (0.7337, 0.7487, 0.0305)  7 O 2.06-2.30
Zr (0.2663, 0.7487, 0.5305)  7 O 2.06-2.30
Zr (0.2663, 0.2487, 0.9695)  7 O 2.06-2.30
Zr (0.7337, 0.2487, 0.4695)  7 O 2.06-2.30
O (0.4640, 0.5017, 0.2284)  4 Zr 2.16-2.30
O (0.9330, 0.6056, 0.3652)  3 Zr 2.06-2.19
O (0.0670, 0.6056, 0.8652)  3 Zr 2.06-2.19
O (0.5360, 0.5017, 0.7284)  4 Zr 2.16-2.30
O (0.9330, 0.1056, 0.1348)  3 Zr 2.06-2.19
O (0.5360, 0.0017, 0.7716)  4 Zr 2.16-2.30
O (0.0670, 0.1056, 0.6348)  3 Zr 2.06-2.19
O (0.4640, 0.0017, 0.2716)  4 Zr 2.16-2.30

The calculation puts the uncorrected formation energy at -963 kJ/mol of formula units. Its symmetry is Pca2_1. The value obtained for the total energy is -0.6969 Ry/atom. The total magnetization comes out at 0.00 μB per cell.

2.
Computed, not measured: a relaxed structure of Zr2O at the PBE level of DFT.

Lattice parameters (Å, degrees): 3.3016 5.4507 5.4504 90.00 90.00 90.00
Closest atoms and distances in Å follow each position.
Sites, in units of the cell vectors:
Zr (0.5000, 0.2883, 0.7118)  3 O 2.22-2.32
Zr (0.0000, 0.7883, 0.7883)  3 O 2.22-2.32
Zr (0.0000, 0.2117, 0.2117)  3 O 2.22-2.32
Zr (0.5000, 0.7117, 0.2882)  3 O 2.22-2.32
O (0.0000, 0.5000, 0.5000)  6 Zr 2.22-2.32
O (0.5000, 0.0000, 0.0000)  6 Zr 2.22-2.32

The calculation puts the uncorrected formation energy at -501 kJ/mol of formula units. Its symmetry is P4_2/mnm. The value obtained for the total energy is -0.6675 Ry/atom. The total magnetization comes out at 0.00 μB per cell.

3.
Computed, not measured: a relaxed structure of Zr3O at the PBE level of DFT.

Lattice parameters (Å, degrees): 6.1677 6.1677 6.1677 54.80 54.80 54.80
Closest atoms and distances in Å follow each position.
Sites, in units of the cell vectors:
O (0.0000, 0.0000, 0.0000)  6 Zr 2.28
O (0.5000, 0.5000, 0.5000)  6 Zr 2.28
Zr (0.9096, 0.2500, 0.5904)  2 O 2.28
Zr (0.5904, 0.9096, 0.2500)  2 O 2.28
Zr (0.2500, 0.5904, 0.9096)  2 O 2.28
Zr (0.0904, 0.7500, 0.4096)  2 O 2.28
Zr (0.4096, 0.0904, 0.7500)  2 O 2.28
Zr (0.7500, 0.4096, 0.0904)  2 O 2.28

The calculation puts the uncorrected formation energy at -529 kJ/mol of formula units. Its symmetry is R-3c. The value obtained for the total energy is -0.6631 Ry/atom. The total magnetization comes out at 0.00 μB per cell.

4.
Computed, not measured: a relaxed structure of ZrO2 at the PBE level of DFT.

Lattice parameters (Å, degrees): 5.0624 5.4405 5.9128 90.00 90.00 90.00
Closest atoms and distances in Å follow each position.
Sites, in units of the cell vectors:
Zr (0.4160, 0.2500, 0.1415)  6 O 2.11-2.15
Zr (0.9160, 0.7500, 0.3585)  6 O 2.11-2.15
Zr (0.0840, 0.2500, 0.6415)  6 O 2.11-2.15
Zr (0.5840, 0.7500, 0.8585)  6 O 2.11-2.15
O (0.2200, 0.0138, 0.3800)  3 Zr 2.11-2.15
O (0.7200, 0.9862, 0.1200)  3 Zr 2.11-2.15
O (0.2200, 0.4862, 0.3800)  3 Zr 2.11-2.15
O (0.7200, 0.5138, 0.1200)  3 Zr 2.11-2.15
O (0.2800, 0.0138, 0.8800)  3 Zr 2.11-2.15
O (0.7800, 0.9862, 0.6200)  3 Zr 2.11-2.15
O (0.2800, 0.4862, 0.8800)  3 Zr 2.11-2.15
O (0.7800, 0.5138, 0.6200)  3 Zr 2.11-2.15

The calculation puts the uncorrected formation energy at -945 kJ/mol of formula units. Its symmetry is Pnma. The value obtained for the total energy is -0.6923 Ry/atom. The total magnetization comes out at 0.00 μB per cell.

5.
Computed, not measured: a relaxed structure of Zr5O at the PBE level of DFT.

Lattice parameters (Å, degrees): 3.0981 5.4564 7.7797 110.53 90.00 90.00
Closest atoms and distances in Å follow each position.
Sites, in units of the cell vectors:
O (0.0000, 0.0000, 0.0000)  4 Zr 2.22
Zr (0.5000, 0.8904, 0.7809)  2 O 2.22
Zr (0.0000, 0.6950, 0.3901)  12 Zr 3.10-3.38
Zr (0.5000, 0.5000, 0.0000)  10 Zr 3.10-3.24, 4 O 3.14
Zr (0.0000, 0.3050, 0.6099)  12 Zr 3.10-3.38
Zr (0.5000, 0.1096, 0.2191)  2 O 2.22

The calculation puts the uncorrected formation energy at -307 kJ/mol of formula units. Its symmetry is Cmmm. The value obtained for the total energy is -0.6232 Ry/atom. The total magnetization comes out at 0.00 μB per cell.

6.
Computed, not measured: a relaxed structure of ZrO2 at the PBE level of DFT.

Lattice parameters (Å, degrees): 3.6412 3.6412 3.6412 60.00 60.00 60.00
Closest atoms and distances in Å follow each position.
Sites, in units of the cell vectors:
O (0.7500, 0.7500, 0.7500)  4 Zr 2.23
O (0.2500, 0.2500, 0.2500)  4 Zr 2.23
Zr (0.0000, 0.0000, 0.0000)  8 O 2.23

The calculation puts the uncorrected formation energy at -949 kJ/mol of formula units. Its symmetry is Fm-3m. The value obtained for the total energy is -0.6934 Ry/atom. The total magnetization comes out at 0.00 μB per cell.

7.
Computed, not measured: a relaxed structure of Zr3O at the PBE level of DFT.

Lattice parameters (Å, degrees): 10.9687 10.9687 10.9688 29.95 29.95 29.95
Closest atoms and distances in Å follow each position.
Sites, in units of the cell vectors:
O (0.8749, 0.8748, 0.8748)  6 Zr 2.28-2.29
O (0.1253, 0.1251, 0.1251)  6 Zr 2.28-2.29
O (0.7086, 0.7084, 0.7084)  6 Zr 2.28
O (0.2916, 0.2915, 0.2915)  6 Zr 2.28
Zr (0.3413, 0.6587, 0.0000)  2 O 2.28
Zr (0.6588, 0.0000, 0.3412)  2 O 2.28
Zr (0.0000, 0.3412, 0.6587)  2 O 2.28
Zr (0.8393, 0.1607, 0.5000)  2 O 2.28
Zr (0.1608, 0.4999, 0.8393)  2 O 2.28
Zr (0.5001, 0.8392, 0.1607)  2 O 2.28
Zr (0.5850, 0.2430, 0.9230)  2 O 2.28-2.29
Zr (0.2431, 0.9229, 0.5850)  2 O 2.28-2.29
Zr (0.9230, 0.5849, 0.2431)  2 O 2.28-2.29
Zr (0.4151, 0.0770, 0.7569)  2 O 2.28-2.29
Zr (0.7570, 0.4150, 0.0770)  2 O 2.28-2.29
Zr (0.0771, 0.7569, 0.4150)  2 O 2.28-2.29

The calculation puts the uncorrected formation energy at -529 kJ/mol of formula units. Its symmetry is R32. The value obtained for the total energy is -0.6631 Ry/atom. The total magnetization comes out at 0.00 μB per cell.

8.
Computed, not measured: a relaxed structure of ZrO2 at the PBE level of DFT.

Lattice parameters (Å, degrees): 7.0047 7.0047 7.1500 73.57 73.57 33.42
Closest atoms and distances in Å follow each position.
Sites, in units of the cell vectors:
Zr (0.8989, 0.8989, 0.7116)  4 O 2.01-2.10
Zr (0.8079, 0.8079, 0.2869)  4 O 1.95-2.12
Zr (0.1921, 0.1921, 0.7131)  4 O 1.95-2.12
Zr (0.1011, 0.1011, 0.2884)  4 O 2.01-2.10
O (0.9413, 0.9413, 0.3779)  3 Zr 2.05-2.28
O (0.3555, 0.3555, 0.7105)  3 Zr 2.10-2.19
O (0.8712, 0.8712, 0.0038)  2 Zr 1.95-2.01
O (0.7394, 0.7394, 0.6468)  3 Zr 2.12-2.32
O (0.2606, 0.2606, 0.3532)  3 Zr 2.12-2.32
O (0.1288, 0.1288, 0.9962)  2 Zr 1.95-2.01
O (0.6445, 0.6445, 0.2895)  3 Zr 2.10-2.19
O (0.0587, 0.0587, 0.6221)  3 Zr 2.05-2.28

The calculation puts the uncorrected formation energy at -954 kJ/mol of formula units. Its symmetry is C2/m. The value obtained for the total energy is -0.6947 Ry/atom. The total magnetization comes out at 0.00 μB per cell.

9.
Computed, not measured: a relaxed structure of Zr2O at the PBE level of DFT.

Lattice parameters (Å, degrees): 5.6835 5.6835 10.5001 90.00 90.00 120.00
Closest atoms and distances in Å follow each position.
Sites, in units of the cell vectors:
Zr (0.3336, 0.3251, 0.8711)  3 O 2.31
Zr (0.3330, 0.3336, 0.3739)  3 O 2.26-2.31
Zr (0.3330, 0.9994, 0.6261)  3 O 2.26-2.31
Zr (0.3336, 0.0085, 0.1289)  3 O 2.31
Zr (0.6664, 0.9994, 0.3739)  3 O 2.26-2.31
Zr (0.6749, 0.0085, 0.8711)  3 O 2.31
Zr (0.6664, 0.6670, 0.6261)  3 O 2.26-2.31
Zr (0.6749, 0.6664, 0.1289)  3 O 2.31
Zr (0.0006, 0.3336, 0.6261)  3 O 2.26-2.31
Zr (0.9915, 0.3251, 0.1289)  3 O 2.31
Zr (0.9915, 0.6664, 0.8711)  3 O 2.31
Zr (0.0006, 0.6670, 0.3739)  3 O 2.26-2.31
O (0.6667, 0.3333, 0.7424)  6 Zr 2.26-2.31
O (0.6667, 0.3333, 0.2576)  6 Zr 2.26-2.31
O (0.6667, 0.3333, 0.0000)  6 Zr 2.31
O (0.3333, 0.6667, 0.5000)  6 Zr 2.31
O (0.0000, 0.0000, 0.5000)  6 Zr 2.31
O (0.0000, 0.0000, 0.0000)  6 Zr 2.31

The calculation puts the uncorrected formation energy at -509 kJ/mol of formula units. Its symmetry is P312. The value obtained for the total energy is -0.6695 Ry/atom. The total magnetization comes out at 0.00 μB per cell.

10.
Computed, not measured: a relaxed structure of ZrO2 at the PBE level of DFT.

Lattice parameters (Å, degrees): 5.6275 5.8547 10.0816 90.00 90.00 90.00
Closest atoms and distances in Å follow each position.
Sites, in units of the cell vectors:
Zr (0.1474, 0.9053, 0.8702)  6 O 2.06-2.18
Zr (0.6474, 0.5947, 0.8702)  6 O 2.06-2.18
Zr (0.1474, 0.4053, 0.6298)  6 O 2.06-2.18
Zr (0.6474, 0.0947, 0.6298)  6 O 2.06-2.18
Zr (0.3526, 0.9053, 0.3702)  6 O 2.06-2.18
Zr (0.8526, 0.5947, 0.3702)  6 O 2.06-2.18
Zr (0.3526, 0.4053, 0.1298)  6 O 2.06-2.18
Zr (0.8526, 0.0947, 0.1298)  6 O 2.06-2.18
O (0.8290, 0.8460, 0.9854)  3 Zr 2.06-2.16
O (0.3290, 0.6540, 0.9854)  3 Zr 2.06-2.16
O (0.4760, 0.8791, 0.7691)  3 Zr 2.12-2.18
O (0.9760, 0.6209, 0.7691)  3 Zr 2.12-2.18
O (0.4760, 0.3791, 0.7309)  3 Zr 2.12-2.18
O (0.9760, 0.1209, 0.7309)  3 Zr 2.12-2.18
O (0.3290, 0.1540, 0.5146)  3 Zr 2.06-2.16
O (0.8290, 0.3460, 0.5146)  3 Zr 2.06-2.16
O (0.6710, 0.8460, 0.4854)  3 Zr 2.06-2.16
O (0.1710, 0.6540, 0.4854)  3 Zr 2.06-2.16
O (0.0240, 0.8791, 0.2691)  3 Zr 2.12-2.18
O (0.5240, 0.6209, 0.2691)  3 Zr 2.12-2.18
O (0.0240, 0.3791, 0.2309)  3 Zr 2.12-2.18
O (0.5240, 0.1209, 0.2309)  3 Zr 2.12-2.18
O (0.6710, 0.3460, 0.0146)  3 Zr 2.06-2.16
O (0.1710, 0.1540, 0.0146)  3 Zr 2.06-2.16

The calculation puts the uncorrected formation energy at -958 kJ/mol of formula units. Its symmetry is Pbca. The value obtained for the total energy is -0.6956 Ry/atom. The total magnetization comes out at 0.00 μB per cell.

11.
Computed, not measured: a relaxed structure of P3Os at the PBE level of DFT.

Lattice parameters (Å, degrees): 4.0246 4.0246 7.7001 48.20 48.20 45.85
Closest atoms and distances in Å follow each position.
Sites, in units of the cell vectors:
Os (0.0000, 0.0000, 0.0000)  6 P 2.40-2.49
P (0.5000, 0.5000, 0.5000)  4 P 2.29
P (0.8716, 0.8716, 0.7895)  2 P 2.29, 3 Os 2.40-2.49
P (0.1284, 0.1284, 0.2105)  2 P 2.29, 3 Os 2.40-2.49

Its symmetry is C2/m. The value obtained for the total energy is -0.4954 Ry/atom. The total magnetization comes out at 0.00 μB per cell. The offset from the most stable computed form is 0.211 eV/atom. The formation energy comes out at 0.1247 eV per atom.

12.
Computed, not measured: a relaxed structure of P3Os at the PBE level of DFT.

Lattice parameters (Å, degrees): 5.8626 5.8626 5.8626 151.51 140.04 49.80
Closest atoms and distances in Å follow each position.
Sites, in units of the cell vectors:
Os (0.0000, 0.0000, 0.0000)  8 P 2.47-2.50
P (0.1919, 0.6919, 0.5000)  2 Os 2.50, 4 P 2.76
P (0.5000, 0.5000, 0.0000)  4 Os 2.47
P (0.8081, 0.3081, 0.5000)  2 Os 2.50, 4 P 2.76

Its symmetry is Immm. The value obtained for the total energy is -0.4731 Ry/atom. The total magnetization comes out at 0.00 μB per cell. The offset from the most stable computed form is 0.514 eV/atom. The formation energy comes out at 0.4274 eV per atom.

Which value of total magnetization does entry 9 give? 0.00 μB per cell

total magnetization of number 1 (ZrO2)? 0.00 μB per cell

Look up the total magnetization of the fourth one. 0.00 μB per cell